DFT (GGA-PBEsol) results for a relaxed TeRuPbC2 crystal.

- D(E_F) (states/eV/atom) = 0.592
- magnetization (μB per formula unit) = 0.001
- space group = No. 123
- calculated total energy (eV/atom) = -6.0161

The structure in POSCAR format:
```
TeRuPbC2
1.0
-3.6274 -0.2032 1.8506
1.8585 -0.6306 3.5738
0.1473 5.4818 0.8906
Pb Ru C Te
1 1 2 1
Direct
0.5000 0.5000 0.5000 Pb
0.0000 0.0000 0.0000 Ru
0.0000 0.5000 0.0000 C
0.5000 0.0000 0.0000 C
0.0000 0.0000 0.5000 Te
```